Record 1
! Ca2SbRh | Alexandria via LeMat-Bulk | meta-GGA SCAN | single point on PBEsol structure; values from VASP
! * D(E_F): 2.416 states/eV/f.u.
! * crystal system: orthorhombic
! * formation energy without anion corrections: -0.27 eV per atom
! * space group: Pmm2
! * VASP energy: -91.450 eV per formula unit
&SYSTEM
  ibrav = 0, nat = 4, ntyp = 3
/
ATOMIC_SPECIES
Ca 40.08 Ca.upf
Rh 102.91 Rh.upf
Sb 121.76 Sb.upf
CELL_PARAMETERS angstrom
-1.1173 -1.0069 -2.9536
-2.9838 -2.9547 2.1360
-4.2965 4.4236 0.1172
ATOMIC_POSITIONS crystal
Ca 0.0000 0.0000 0.9739
Ca 0.5000 0.5000 0.3077
Rh 0.0000 0.0000 0.4384
Sb 0.5000 0.5000 0.7799

Record 2
! MnCd2Ru | Alexandria via LeMat-Bulk | meta-GGA SCAN | single point on PBEsol structure; values from VASP
! * D(E_F): 2.508 states/eV/f.u.
! * crystal system: tetragonal
! * space group: P4mm
! * excess energy over the best structure of this formula in the dataset: 0.50 kcal/mol of atoms
! * VASP energy: -113.542 eV per formula unit
! * formation enthalpy at 0 K: 0.092 eV/atom
&SYSTEM
  ibrav = 0, nat = 4, ntyp = 3
/
ATOMIC_SPECIES
Mn 54.94 Mn.upf
Ru 101.07 Ru.upf
Cd 112.41 Cd.upf
CELL_PARAMETERS angstrom
2.8291 0.0000 0.0000
0.0000 2.8291 0.0000
0.0000 0.0000 7.8474
ATOMIC_POSITIONS crystal
Mn 0.0000 0.0000 0.5354
Ru 0.5000 0.5000 0.7072
Cd 0.0000 0.0000 0.9741
Cd 0.5000 0.5000 0.2833